The following is a meta-GGA SCAN calculation of a PBEsol-optimized structure of Y2Al3Fe14, from the Alexandria database.

a = 8.3004 Å, b = 8.3004 Å, c = 8.1614 Å
α = 90.00°, β = 90.00°, γ = 120.00°
Space group P6_3/mmc (No. 194)
Symmetry-distinct sites (fractional):
Y 0.0000 0.0000 0.2500 (multiplicity 2)
Y 0.3333 0.6667 0.2500 (multiplicity 2)
Al 0.0000 0.5000 0.0000 (multiplicity 6)
Fe 0.0315 0.3527 0.7500 (multiplicity 12)
Fe 0.1627 0.3253 0.0134 (multiplicity 12)
Fe 0.3333 0.6667 0.6137 (multiplicity 4)

Its total DFT energy (no corrections) is -669.219 eV for the cell shown. The formation enthalpy at 0 K is -0.098 eV per atom.